1.
Density functional theory data (PBE-GGA) for an optimized crystal structure of CaNdOs4.

- SG: F-43m
- D(E_F): 8.1 states/eV per cell
- Formation energy: 0.029 eV/atom

a = 5.4026 Å, b = 5.4026 Å, c = 5.4026 Å
α = 60.00°, β = 60.00°, γ = 60.00°
Atoms (fractional coordinates):
Os: 0.6247 0.1258 0.6247
Os: 0.1258 0.6247 0.6247
Os: 0.6247 0.6247 0.6247
Os: 0.6247 0.6247 0.1258
Nd: 0.0000 0.0000 0.0000
Ca: 0.2500 0.2500 0.2500



2.
Density functional theory data (PBE-GGA) for an optimized crystal structure of NiSb2P.

- SG: Immm
- ΔE_f (raw): 0.4389 eV per atom
- D(E_F): 2.9 states/eV per cell

a = 5.1267 Å, b = 5.1267 Å, c = 5.1267 Å
α = 137.34°, β = 112.67°, γ = 83.06°
Atoms (fractional coordinates):
P: 0.5000 0.0000 0.5000
Sb: 0.2345 0.2345 0.0000
Sb: 0.7655 0.7655 0.0000
Ni: 0.0000 0.5000 0.5000



3.
Density functional theory data (PBE-GGA) for an optimized crystal structure of Li2La2Au.

- SG: Immm
- Offset from the most stable computed form: 0.00 eV per formula unit
- D(E_F): 4.1 states/eV per cell
- Formation energy: -0.267 eV/atom

a = 4.9981 Å, b = 4.8744 Å, c = 6.1482 Å
α = 66.64°, β = 66.02°, γ = 90.00°
Atoms (fractional coordinates):
La: 0.6895 0.1895 0.6210
La: 0.3105 0.8105 0.3790
Li: 0.7595 0.5000 0.0000
Li: 0.2405 0.5000 0.0000
Au: 0.0000 0.0000 0.0000